CrNi2AsO6, optimized geometry, DFT PBE with a Hubbard U; theoretical density = 4.74 g/cm3; magnetic moment = 5.0 μB/f.u.; uncorrected energy = -55.3 eV per formula unit
1.0
5.1779 0.0000 0.0000
0.0000 5.1779 0.0000
0.0000 0.0000 4.4441
Cr Ni As O
1 2 1 6
Cartesian
0.0000 0.0000 0.0000
0.0000 2.5889 1.5219
2.5889 0.0000 1.5219
2.5889 2.5889 4.4124
0.0000 0.0000 2.5945
1.3532 1.3532 0.5732
1.3532 3.8247 0.5732
2.5889 2.5889 2.7369
3.8247 1.3532 0.5732
3.8247 3.8247 0.5732